Here is crystalline MnAlBrF2 at its relaxed geometry from Alexandria. Energies are from PBE+U.

The calculation puts the density at 3.12 g/cm3. The value obtained for the calculated total energy is -4.749 eV/atom. The crystal system is tetragonal.

The space group is P4/mmm (No. 123) and the conventional cell measures 4.070, 4.070 and 6.424 Å, with angles of 90.00, 90.00 and 90.00 degrees. Symmetry generates all atoms from Mn at (0.000, 0.000, 0.000), Al at (0.000, 0.000, 0.500), Br at (0.500, 0.500, 0.500) and F at (0.000, 0.500, 0.000).